# TmFePd | OQMD via LeMat-Bulk | PBE | optimized geometry
data_TmFePd
_chemical_formula_sum 'Tm4 Fe4 Pd4'
_space_group_name_H-M_alt 'P 1'
_space_group_IT_number 1
_cell_length_a 6.330
_cell_length_b 6.330
_cell_length_c 6.330
_cell_angle_alpha 90.00
_cell_angle_beta 90.00
_cell_angle_gamma 90.00
loop_
_space_group_symop_operation_xyz
'x,y,z'
loop_
_atom_site_label
_atom_site_type_symbol
_atom_site_fract_x
_atom_site_fract_y
_atom_site_fract_z
Tm1 Tm 0.000 0.000 0.000
Tm2 Tm 0.000 0.500 0.500
Tm3 Tm 0.500 0.000 0.500
Tm4 Tm 0.500 0.500 0.000
Fe1 Fe 0.000 0.000 0.500
Fe2 Fe 0.000 0.500 0.000
Fe3 Fe 0.500 0.000 0.000
Fe4 Fe 0.500 0.500 0.500
Pd1 Pd 0.250 0.250 0.750
Pd2 Pd 0.250 0.750 0.250
Pd3 Pd 0.750 0.250 0.250
Pd4 Pd 0.750 0.750 0.750
# **M_tot**: 0.95 μB/atom
# **V**: 21.1 Å³ per atom
# **ΔH_f (0 K)**: -0.054 eV per atom
# **Calculated total energy**: -72.48 eV/cell
# **Space-group type**: F-43m (216)

# HfCoSiAu | OQMD via LeMat-Bulk | PBE | optimized geometry
data_HfCoSiAu
_chemical_formula_sum 'Hf4 Co4 Si4 Au4'
_space_group_name_H-M_alt 'P 1'
_space_group_IT_number 1
_cell_length_a 6.312
_cell_length_b 6.312
_cell_length_c 6.312
_cell_angle_alpha 90.00
_cell_angle_beta 90.00
_cell_angle_gamma 90.00
loop_
_space_group_symop_operation_xyz
'x,y,z'
loop_
_atom_site_label
_atom_site_type_symbol
_atom_site_fract_x
_atom_site_fract_y
_atom_site_fract_z
Hf1 Hf 0.000 0.000 0.000
Hf2 Hf 0.000 0.500 0.500
Hf3 Hf 0.500 0.000 0.500
Hf4 Hf 0.500 0.500 0.000
Co1 Co 0.000 0.000 0.500
Co2 Co 0.000 0.500 0.000
Co3 Co 0.500 0.000 0.000
Co4 Co 0.500 0.500 0.500
Si1 Si 0.250 0.250 0.250
Si2 Si 0.250 0.750 0.750
Si3 Si 0.750 0.250 0.750
Si4 Si 0.750 0.750 0.250
Au1 Au 0.250 0.250 0.750
Au2 Au 0.250 0.750 0.250
Au3 Au 0.750 0.250 0.250
Au4 Au 0.750 0.750 0.750
# **M_tot**: 0.11 μB/atom
# **Energy relative to the lowest polymorph listed for this composition**: 0.000 eV per atom
# **V**: 15.7 Å³ per atom
# **Calculated total energy**: -105.78 eV/cell
# **Space-group type**: F-43m (216)

# SrGdGa4Pt2 | OQMD via LeMat-Bulk | PBE | optimized geometry
data_SrGdGa4Pt2
_chemical_formula_sum 'Sr2 Gd2 Ga8 Pt4'
_space_group_name_H-M_alt 'P 1'
_space_group_IT_number 1
_cell_length_a 6.897
_cell_length_b 4.406
_cell_length_c 10.454
_cell_angle_alpha 90.00
_cell_angle_beta 90.00
_cell_angle_gamma 90.00
loop_
_space_group_symop_operation_xyz
'x,y,z'
loop_
_atom_site_label
_atom_site_type_symbol
_atom_site_fract_x
_atom_site_fract_y
_atom_site_fract_z
Sr1 Sr 0.000 0.000 0.000
Sr2 Sr 0.000 0.500 0.500
Gd1 Gd 0.500 0.000 0.840
Gd2 Gd 0.500 0.500 0.340
Ga1 Ga 0.199 0.000 0.285
Ga2 Ga 0.199 0.500 0.785
Ga3 Ga 0.309 0.000 0.558
Ga4 Ga 0.309 0.500 0.058
Ga5 Ga 0.691 0.000 0.558
Ga6 Ga 0.691 0.500 0.058
Ga7 Ga 0.801 0.000 0.285
Ga8 Ga 0.801 0.500 0.785
Pt1 Pt 0.000 0.000 0.715
Pt2 Pt 0.000 0.500 0.215
Pt3 Pt 0.500 0.000 0.127
Pt4 Pt 0.500 0.500 0.627
# **M_tot**: 0.00 μB/atom
# **V**: 19.9 Å³ per atom
# **Calculated total energy**: -73.79 eV/cell
# **Space-group type**: Amm2 (38)

# Fe6CoSi | OQMD via LeMat-Bulk | PBE | optimized geometry
data_Fe6CoSi
_chemical_formula_sum 'Fe6 Co1 Si1'
_space_group_name_H-M_alt 'P 1'
_space_group_IT_number 1
_cell_length_a 3.985
_cell_length_b 3.985
_cell_length_c 5.644
_cell_angle_alpha 90.00
_cell_angle_beta 90.00
_cell_angle_gamma 90.00
loop_
_space_group_symop_operation_xyz
'x,y,z'
loop_
_atom_site_label
_atom_site_type_symbol
_atom_site_fract_x
_atom_site_fract_y
_atom_site_fract_z
Fe1 Fe 0.000 0.000 0.000
Fe2 Fe 0.000 0.500 0.250
Fe3 Fe 0.000 0.500 0.750
Fe4 Fe 0.500 0.000 0.250
Fe5 Fe 0.500 0.000 0.750
Fe6 Fe 0.500 0.500 0.500
Co1 Co 0.000 0.000 0.500
Si1 Si 0.500 0.500 0.000
# **M_tot**: 1.81 μB/atom
# **V**: 11.2 Å³ per atom
# **Calculated total energy**: -63.64 eV/cell
# **Space-group type**: P4/mmm (123)

# BaCu8Sb4 | OQMD via LeMat-Bulk | PBE | optimized geometry
data_BaCu8Sb4
_chemical_formula_sum 'Ba1 Cu8 Sb4'
_space_group_name_H-M_alt 'P 1'
_space_group_IT_number 1
_cell_length_a 8.048
_cell_length_b 8.048
_cell_length_c 8.048
_cell_angle_alpha 93.71
_cell_angle_beta 93.71
_cell_angle_gamma 150.54
loop_
_space_group_symop_operation_xyz
'x,y,z'
loop_
_atom_site_label
_atom_site_type_symbol
_atom_site_fract_x
_atom_site_fract_y
_atom_site_fract_z
Ba1 Ba 0.000 0.000 0.000
Cu1 Cu 0.014 0.616 0.630
Cu2 Cu 0.207 0.324 0.532
Cu3 Cu 0.324 0.793 0.117
Cu4 Cu 0.384 0.014 0.398
Cu5 Cu 0.616 0.986 0.602
Cu6 Cu 0.676 0.207 0.883
Cu7 Cu 0.793 0.676 0.468
Cu8 Cu 0.986 0.384 0.370
Sb1 Sb 0.249 0.568 0.816
Sb2 Sb 0.432 0.249 0.681
Sb3 Sb 0.568 0.751 0.319
Sb4 Sb 0.751 0.432 0.184
# **V**: 19.1 Å³ per atom
# **Calculated total energy**: -49.88 eV/cell
# **Space-group type**: I4/m (87)

# NdYNi2Pb | OQMD via LeMat-Bulk | PBE | optimized geometry
data_NdYNi2Pb
_chemical_formula_sum 'Nd2 Y2 Ni4 Pb2'
_space_group_name_H-M_alt 'P 1'
_space_group_IT_number 1
_cell_length_a 3.748
_cell_length_b 4.029
_cell_length_c 14.469
_cell_angle_alpha 90.00
_cell_angle_beta 90.00
_cell_angle_gamma 90.00
loop_
_space_group_symop_operation_xyz
'x,y,z'
loop_
_atom_site_label
_atom_site_type_symbol
_atom_site_fract_x
_atom_site_fract_y
_atom_site_fract_z
Nd1 Nd 0.000 0.000 0.000
Nd2 Nd 0.000 0.500 0.500
Y1 Y 0.000 0.000 0.277
Y2 Y 0.000 0.500 0.777
Ni1 Ni 0.500 0.000 0.433
Ni2 Ni 0.500 0.000 0.838
Ni3 Ni 0.500 0.500 0.338
Ni4 Ni 0.500 0.500 0.933
Pb1 Pb 0.500 0.000 0.642
Pb2 Pb 0.500 0.500 0.142
# **M_tot**: 0.00 μB/atom
# **V**: 21.8 Å³ per atom
# **Calculated total energy**: -56.92 eV/cell
# **Space-group type**: Amm2 (38)

# Zn2InCo | OQMD via LeMat-Bulk | PBE | optimized geometry
data_Zn2InCo
_chemical_formula_sum 'Zn8 In4 Co4'
_space_group_name_H-M_alt 'P 1'
_space_group_IT_number 1
_cell_length_a 6.209
_cell_length_b 6.209
_cell_length_c 6.209
_cell_angle_alpha 90.00
_cell_angle_beta 90.00
_cell_angle_gamma 90.00
loop_
_space_group_symop_operation_xyz
'x,y,z'
loop_
_atom_site_label
_atom_site_type_symbol
_atom_site_fract_x
_atom_site_fract_y
_atom_site_fract_z
Zn1 Zn 0.000 0.000 0.000
Zn2 Zn 0.000 0.500 0.500
Zn3 Zn 0.250 0.250 0.250
Zn4 Zn 0.250 0.750 0.750
Zn5 Zn 0.500 0.000 0.500
Zn6 Zn 0.500 0.500 0.000
Zn7 Zn 0.750 0.250 0.750
Zn8 Zn 0.750 0.750 0.250
In1 In 0.000 0.000 0.500
In2 In 0.000 0.500 0.000
In3 In 0.500 0.000 0.000
In4 In 0.500 0.500 0.500
Co1 Co 0.250 0.250 0.750
Co2 Co 0.250 0.750 0.250
Co3 Co 0.750 0.250 0.250
Co4 Co 0.750 0.750 0.750
# **M_tot**: 0.00 μB/atom
# **V**: 15.0 Å³ per atom
# **Calculated total energy**: -46.76 eV/cell
# **Space-group type**: F-43m (216)

# TmNb2As3 | OQMD via LeMat-Bulk | PBE | optimized geometry
data_TmNb2As3
_chemical_formula_sum 'Tm1 Nb2 As3'
_space_group_name_H-M_alt 'P 1'
_space_group_IT_number 1
_cell_length_a 3.950
_cell_length_b 3.950
_cell_length_c 8.906
_cell_angle_alpha 90.00
_cell_angle_beta 90.00
_cell_angle_gamma 120.00
loop_
_space_group_symop_operation_xyz
'x,y,z'
loop_
_atom_site_label
_atom_site_type_symbol
_atom_site_fract_x
_atom_site_fract_y
_atom_site_fract_z
Tm1 Tm 0.000 0.000 0.000
Nb1 Nb 0.333 0.667 0.364
Nb2 Nb 0.667 0.333 0.636
As1 As 0.000 0.000 0.500
As2 As 0.333 0.667 0.812
As3 As 0.667 0.333 0.188
# **M_tot**: 0.02 μB/atom
# **V**: 20.1 Å³ per atom
# **Calculated total energy**: -42.65 eV/cell
# **Space-group type**: P-3m1 (164)